# AcAg2Pd | Alexandria | PBE-GGA | optimized geometry
# E_form = -114.4 kJ/mol of formula units
# Crystal system = trigonal
# E above lowest polymorph = 0.141 eV/atom
data_AcAg2Pd
_chemical_formula_sum 'Ac3 Ag6 Pd3'
_symmetry_space_group_name_H-M 'R -3 m'
_symmetry_Int_Tables_number 166
_symmetry_space_group_name_Hall '-R 3 2"'
_cell_length_a 4.7059
_cell_length_b 4.7059
_cell_length_c 15.3710
_cell_angle_alpha 90.00
_cell_angle_beta 90.00
_cell_angle_gamma 120.00
loop_
_atom_site_label
_atom_site_fract_x
_atom_site_fract_y
_atom_site_fract_z
Ac1 0.0000 0.0000 0.0000
Ag1 0.0000 0.0000 0.2104
Pd1 0.0000 0.0000 0.5000

***

# Ac2Ag2Pd | Alexandria | PBE-GGA | optimized geometry
# E_form = -226.9 kJ/mol of formula units
# Crystal system = monoclinic
data_Ac2Ag2Pd
_chemical_formula_sum 'Ac8 Ag8 Pd4'
_symmetry_space_group_name_H-M 'C 1 2/m 1'
_symmetry_Int_Tables_number 12
_cell_length_a 11.687
_cell_length_b 4.370
_cell_length_c 12.452
_cell_angle_alpha 90.00
_cell_angle_beta 115.90
_cell_angle_gamma 90.00
loop_
_symmetry_equiv_pos_as_xyz
'x,y,z'
'-x,-y,-z'
'-x,y,-z'
'x,-y,z'
'x+1/2,y+1/2,z'
'-x+1/2,-y+1/2,-z'
'-x+1/2,y+1/2,-z'
'x+1/2,-y+1/2,z'
loop_
_atom_site_label
_atom_site_fract_x
_atom_site_fract_y
_atom_site_fract_z
Ac1 0.052 0.000 0.357
Ac2 0.197 0.000 0.118
Ag1 0.025 0.500 0.889
Ag2 0.130 0.500 0.578
Pd1 0.220 0.500 0.307

***

# AcAg8Pd4 | Alexandria | PBE-GGA | optimized geometry
# E_form = -244.5 kJ/mol of formula units
# Crystal system = tetragonal
data_AcAg8Pd4
_chemical_formula_sum 'Ac2 Ag16 Pd8'
_symmetry_space_group_name_H-M 'I 4/m m m'
_symmetry_Int_Tables_number 139
_symmetry_space_group_name_Hall '-I 4 2'
_cell_length_a 9.409
_cell_length_b 9.409
_cell_length_c 5.599
_cell_angle_alpha 90.00
_cell_angle_beta 90.00
_cell_angle_gamma 90.00
loop_
_atom_site_label
_atom_site_fract_x
_atom_site_fract_y
_atom_site_fract_z
Ac1 0.000 0.000 0.000
Ag1 0.000 0.221 0.500
Ag2 0.000 0.349 0.000
Pd1 0.250 0.250 0.250

***

# AcAg3Pd2 | Alexandria | PBE-GGA | optimized geometry
# E_form = -240.9 kJ/mol of formula units
# Crystal system = hexagonal
# E above lowest polymorph = 0.000 eV/atom
data_AcAg3Pd2
_chemical_formula_sum 'Ac1 Ag3 Pd2'
_symmetry_space_group_name_H-M 'P 6/m m m'
_symmetry_Int_Tables_number 191
_symmetry_space_group_name_Hall '-P 6 2'
_cell_length_a 5.5668
_cell_length_b 5.5668
_cell_length_c 4.6976
_cell_angle_alpha 90.00
_cell_angle_beta 90.00
_cell_angle_gamma 120.00
loop_
_atom_site_label
_atom_site_fract_x
_atom_site_fract_y
_atom_site_fract_z
Ac1 0.0000 0.0000 0.0000
Ag1 0.0000 0.5000 0.5000
Pd1 0.3333 0.6667 0.0000

***

# AcAgPd | Alexandria | PBE-GGA | optimized geometry
# E_form = -133.8 kJ/mol of formula units
# Crystal system = cubic
# E above lowest polymorph = 0.134 eV/atom
data_AcAgPd
_chemical_formula_sum 'Ac4 Ag4 Pd4'
_symmetry_space_group_name_H-M 'F -4 3 m'
_symmetry_Int_Tables_number 216
_symmetry_space_group_name_Hall 'F -4 2 3'
_cell_length_a 6.981
_cell_length_b 6.981
_cell_length_c 6.981
_cell_angle_alpha 90.00
_cell_angle_beta 90.00
_cell_angle_gamma 90.00
loop_
_atom_site_label
_atom_site_fract_x
_atom_site_fract_y
_atom_site_fract_z
Ac1 0.000 0.000 0.000
Ag1 0.000 0.000 0.500
Pd1 0.250 0.250 0.750

***

# Ac3AgPd | Alexandria | PBE-GGA | optimized geometry
# E_form = -182.4 kJ/mol of formula units
# Crystal system = monoclinic
data_Ac3AgPd
_chemical_formula_sum 'Ac12 Ag4 Pd4'
_symmetry_space_group_name_H-M 'P 1 21/c 1'
_symmetry_Int_Tables_number 14
_cell_length_a 9.868
_cell_length_b 8.028
_cell_length_c 9.113
_cell_angle_alpha 90.00
_cell_angle_beta 107.66
_cell_angle_gamma 90.00
loop_
_symmetry_equiv_pos_as_xyz
'x,y,z'
'-x,-y,-z'
'-x,y+1/2,-z+1/2'
'x,-y+1/2,z+1/2'
loop_
_atom_site_label
_atom_site_fract_x
_atom_site_fract_y
_atom_site_fract_z
Ac1 0.068 0.002 0.218
Ac2 0.311 0.156 0.619
Ac3 0.354 0.679 0.500
Ag1 0.060 0.668 0.033
Pd1 0.408 0.033 0.330

***

# Ac2AgPd4 | Alexandria | PBE-GGA | optimized geometry
# E_form = -155.2 kJ/mol of formula units
# Crystal system = tetragonal
data_Ac2AgPd4
_chemical_formula_sum 'Ac4 Ag2 Pd8'
_symmetry_space_group_name_H-M 'I 4/m m m'
_symmetry_Int_Tables_number 139
_symmetry_space_group_name_Hall '-I 4 2'
_cell_length_a 4.990
_cell_length_b 4.990
_cell_length_c 14.981
_cell_angle_alpha 90.00
_cell_angle_beta 90.00
_cell_angle_gamma 90.00
loop_
_atom_site_label
_atom_site_fract_x
_atom_site_fract_y
_atom_site_fract_z
Ac1 0.000 0.000 0.137
Ag1 0.000 0.000 0.500
Pd1 0.000 0.000 0.324
Pd2 0.000 0.500 0.000

***

# AcAgPd2 | Alexandria | PBE-GGA | optimized geometry
# E_form = -218.4 kJ/mol of formula units
# Crystal system = trigonal
data_AcAgPd2
_chemical_formula_sum 'Ac3 Ag3 Pd6'
_symmetry_space_group_name_H-M 'R -3 m'
_symmetry_Int_Tables_number 166
_symmetry_space_group_name_Hall '-R 3 2"'
_cell_length_a 4.6676
_cell_length_b 4.6676
_cell_length_c 14.7085
_cell_angle_alpha 90.00
_cell_angle_beta 90.00
_cell_angle_gamma 120.00
loop_
_atom_site_label
_atom_site_fract_x
_atom_site_fract_y
_atom_site_fract_z
Ac1 0.0000 0.0000 0.0000
Ag1 0.0000 0.0000 0.5000
Pd1 0.0000 0.0000 0.2087

***

# AcAgPd | Alexandria | PBE-GGA | optimized geometry
# E_form = -156.8 kJ/mol of formula units
# Crystal system = tetragonal
# E above lowest polymorph = 0.055 eV/atom
data_AcAgPd
_chemical_formula_sum 'Ac4 Ag4 Pd4'
_symmetry_space_group_name_H-M 'I 4/m m m'
_symmetry_Int_Tables_number 139
_symmetry_space_group_name_Hall '-I 4 2'
_cell_length_a 4.333
_cell_length_b 4.333
_cell_length_c 16.045
_cell_angle_alpha 90.00
_cell_angle_beta 90.00
_cell_angle_gamma 90.00
loop_
_atom_site_label
_atom_site_fract_x
_atom_site_fract_y
_atom_site_fract_z
Ac1 0.000 0.000 0.164
Ag1 0.000 0.500 0.000
Pd1 0.000 0.000 0.373

***

# Ac2Ag2Pd3 | Alexandria | PBE-GGA | optimized geometry
# E_form = -388.5 kJ/mol of formula units
# Crystal system = orthorhombic
# E above lowest polymorph = 0.000 eV/atom
data_Ac2Ag2Pd3
_chemical_formula_sum 'Ac8 Ag8 Pd12'
_symmetry_space_group_name_H-M 'C m c m'
_symmetry_Int_Tables_number 63
_symmetry_space_group_name_Hall '-C 2c 2'
_cell_length_a 4.329
_cell_length_b 19.659
_cell_length_c 7.900
_cell_angle_alpha 90.00
_cell_angle_beta 90.00
_cell_angle_gamma 90.00
loop_
_atom_site_label
_atom_site_fract_x
_atom_site_fract_y
_atom_site_fract_z
Ac1 0.000 0.063 0.250
Ac2 0.000 0.154 0.750
Ag1 0.000 0.308 0.555
Pd1 0.000 0.228 0.250
Pd2 0.000 0.440 0.075

***

# Ac4Ag2Pd | Alexandria | PBE-GGA | optimized geometry
# E_form = -116.3 kJ/mol of formula units
# Crystal system = tetragonal
data_Ac4Ag2Pd
_chemical_formula_sum 'Ac8 Ag4 Pd2'
_symmetry_space_group_name_H-M 'I 4/m m m'
_symmetry_Int_Tables_number 139
_symmetry_space_group_name_Hall '-I 4 2'
_cell_length_a 5.891
_cell_length_b 5.891
_cell_length_c 15.454
_cell_angle_alpha 90.00
_cell_angle_beta 90.00
_cell_angle_gamma 90.00
loop_
_atom_site_label
_atom_site_fract_x
_atom_site_fract_y
_atom_site_fract_z
Ac1 0.000 0.000 0.198
Ac2 0.000 0.500 0.000
Ag1 0.000 0.000 0.400
Pd1 0.000 0.000 0.000

***

# Ac4Ag3Pd | Alexandria | PBE-GGA | optimized geometry
# E_form = -307.1 kJ/mol of formula units
# Crystal system = orthorhombic
data_Ac4Ag3Pd
_chemical_formula_sum 'Ac4 Ag3 Pd1'
_symmetry_space_group_name_H-M 'P m m 2'
_symmetry_Int_Tables_number 25
_cell_length_a 4.258
_cell_length_b 4.972
_cell_length_c 11.796
_cell_angle_alpha 90.00
_cell_angle_beta 90.00
_cell_angle_gamma 90.00
loop_
_symmetry_equiv_pos_as_xyz
'x,y,z'
'-x,-y,z'
'-x,y,z'
'x,-y,z'
loop_
_atom_site_label
_atom_site_fract_x
_atom_site_fract_y
_atom_site_fract_z
Ac1 0.000 0.000 0.000
Ac2 0.000 0.500 0.267
Ac3 0.500 0.000 0.480
Ac4 0.500 0.500 0.771
Ag1 0.000 0.000 0.703
Ag2 0.000 0.500 0.552
Ag3 0.500 0.500 0.055
Pd1 0.500 0.000 0.210

***

# AcAgPd2 | Alexandria | PBE-GGA | optimized geometry
# E_form = -183.7 kJ/mol of formula units
# Crystal system = orthorhombic
data_AcAgPd2
_chemical_formula_sum 'Ac4 Ag4 Pd8'
_symmetry_space_group_name_H-M 'C m c m'
_symmetry_Int_Tables_number 63
_symmetry_space_group_name_Hall '-C 2c 2'
_cell_length_a 4.114
_cell_length_b 19.082
_cell_length_c 4.751
_cell_angle_alpha 90.00
_cell_angle_beta 90.00
_cell_angle_gamma 90.00
loop_
_atom_site_label
_atom_site_fract_x
_atom_site_fract_y
_atom_site_fract_z
Ac1 0.000 0.102 0.250
Ag1 0.000 0.331 0.250
Pd1 0.000 0.261 0.750
Pd2 0.000 0.470 0.250

***

# Ac5Ag2Pd5 | Alexandria | PBE-GGA | optimized geometry
# E_form = -748.5 kJ/mol of formula units
# Crystal system = monoclinic
data_Ac5Ag2Pd5
_chemical_formula_sum 'Ac10 Ag4 Pd10'
_symmetry_space_group_name_H-M 'C 1 2/m 1'
_symmetry_Int_Tables_number 12
_cell_length_a 16.031
_cell_length_b 4.314
_cell_length_c 12.015
_cell_angle_alpha 90.00
_cell_angle_beta 127.67
_cell_angle_gamma 90.00
loop_
_symmetry_equiv_pos_as_xyz
'x,y,z'
'-x,-y,-z'
'-x,y,-z'
'x,-y,z'
'x+1/2,y+1/2,z'
'-x+1/2,-y+1/2,-z'
'-x+1/2,y+1/2,-z'
'x+1/2,-y+1/2,z'
loop_
_atom_site_label
_atom_site_fract_x
_atom_site_fract_y
_atom_site_fract_z
Ac1 0.000 0.000 0.000
Ac2 0.103 0.000 0.428
Ac3 0.197 0.000 0.827
Ag1 0.141 0.500 0.260
Pd1 0.000 0.500 0.500
Pd2 0.077 0.500 0.872
Pd3 0.223 0.500 0.665

***

# Ac3Ag2Pd7 | Alexandria | PBE-GGA | optimized geometry
# E_form = -750.3 kJ/mol of formula units
# Crystal system = trigonal
# E above lowest polymorph = 0.000 eV/atom
data_Ac3Ag2Pd7
_chemical_formula_sum 'Ac9 Ag6 Pd21'
_symmetry_space_group_name_H-M 'R -3 m'
_symmetry_Int_Tables_number 166
_symmetry_space_group_name_Hall '-R 3 2"'
_cell_length_a 5.6515
_cell_length_b 5.6515
_cell_length_c 27.3627
_cell_angle_alpha 90.00
_cell_angle_beta 90.00
_cell_angle_gamma 120.00
loop_
_atom_site_label
_atom_site_fract_x
_atom_site_fract_y
_atom_site_fract_z
Ac1 0.0000 0.0000 0.0000
Ac2 0.0000 0.0000 0.1380
Ag1 0.0000 0.0000 0.3335
Pd1 0.0000 0.0000 0.5000
Pd2 0.0029 0.5014 0.9159

***

# Ac3Ag2Pd4 | Alexandria | PBE-GGA | optimized geometry
# E_form = -533.1 kJ/mol of formula units
# Crystal system = monoclinic
# E above lowest polymorph = 0.006 eV/atom
data_Ac3Ag2Pd4
_chemical_formula_sum 'Ac6 Ag4 Pd8'
_symmetry_space_group_name_H-M 'C 1 2/m 1'
_symmetry_Int_Tables_number 12
_cell_length_a 10.572
_cell_length_b 4.653
_cell_length_c 9.166
_cell_angle_alpha 90.00
_cell_angle_beta 96.69
_cell_angle_gamma 90.00
loop_
_symmetry_equiv_pos_as_xyz
'x,y,z'
'-x,-y,-z'
'-x,y,-z'
'x,-y,z'
'x+1/2,y+1/2,z'
'-x+1/2,-y+1/2,-z'
'-x+1/2,y+1/2,-z'
'x+1/2,-y+1/2,z'
loop_
_atom_site_label
_atom_site_fract_x
_atom_site_fract_y
_atom_site_fract_z
Ac1 0.000 0.000 0.000
Ac2 0.124 0.500 0.377
Ag1 0.184 0.500 0.775
Pd1 0.082 0.000 0.631
Pd2 0.218 0.500 0.083

***

# Ac4Ag3Pd5 | Alexandria | PBE-GGA | optimized geometry
# E_form = -510.7 kJ/mol of formula units
# Crystal system = monoclinic
data_Ac4Ag3Pd5
_chemical_formula_sum 'Ac8 Ag6 Pd10'
_symmetry_space_group_name_H-M 'C 1 2/m 1'
_symmetry_Int_Tables_number 12
_cell_length_a 14.671
_cell_length_b 4.856
_cell_length_c 11.107
_cell_angle_alpha 90.00
_cell_angle_beta 124.92
_cell_angle_gamma 90.00
loop_
_symmetry_equiv_pos_as_xyz
'x,y,z'
'-x,-y,-z'
'-x,y,-z'
'x,-y,z'
'x+1/2,y+1/2,z'
'-x+1/2,-y+1/2,-z'
'-x+1/2,y+1/2,-z'
'x+1/2,-y+1/2,z'
loop_
_atom_site_label
_atom_site_fract_x
_atom_site_fract_y
_atom_site_fract_z
Ac1 0.025 0.000 0.319
Ac2 0.230 0.500 0.247
Ag1 0.000 0.000 0.000
Ag2 0.189 0.500 0.926
Pd1 0.000 0.500 0.000
Pd2 0.092 0.500 0.634
Pd3 0.209 0.500 0.513

***

# Ac3Ag3Pd8 | Alexandria | PBE-GGA | optimized geometry
# E_form = -731.3 kJ/mol of formula units
# Crystal system = orthorhombic
data_Ac3Ag3Pd8
_chemical_formula_sum 'Ac6 Ag6 Pd16'
_symmetry_space_group_name_H-M 'I m m m'
_symmetry_Int_Tables_number 71
_symmetry_space_group_name_Hall '-I 2 2'
_cell_length_a 4.522
_cell_length_b 9.620
_cell_length_c 13.742
_cell_angle_alpha 90.00
_cell_angle_beta 90.00
_cell_angle_gamma 90.00
loop_
_atom_site_label
_atom_site_fract_x
_atom_site_fract_y
_atom_site_fract_z
Ac1 0.000 0.000 0.000
Ac2 0.000 0.000 0.303
Ag1 0.000 0.214 0.500
Ag2 0.000 0.500 0.000
Pd1 0.000 0.272 0.119
Pd2 0.000 0.357 0.317

***

# Ac6Ag5Pd | Alexandria | PBE-GGA | optimized geometry
# E_form = -381.5 kJ/mol of formula units
# Crystal system = monoclinic
data_Ac6Ag5Pd
_chemical_formula_sum 'Ac6 Ag5 Pd1'
_symmetry_space_group_name_H-M 'P 1 2/m 1'
_symmetry_Int_Tables_number 10
_cell_length_a 5.577
_cell_length_b 7.865
_cell_length_c 8.790
_cell_angle_alpha 90.00
_cell_angle_beta 108.24
_cell_angle_gamma 90.00
loop_
_symmetry_equiv_pos_as_xyz
'x,y,z'
'-x,-y,-z'
'-x,y,-z'
'x,-y,z'
loop_
_atom_site_label
_atom_site_fract_x
_atom_site_fract_y
_atom_site_fract_z
Ac1 0.000 0.242 0.000
Ac2 0.338 0.247 0.676
Ag1 0.168 0.500 0.337
Ag2 0.173 0.000 0.347
Ag3 0.500 0.500 0.000
Pd1 0.500 0.000 0.000

***

# AcAgPd4 | Alexandria | PBE-GGA | optimized geometry
# E_form = -295.6 kJ/mol of formula units
# Crystal system = cubic
data_AcAgPd4
_chemical_formula_sum 'Ac4 Ag4 Pd16'
_symmetry_space_group_name_H-M 'F -4 3 m'
_symmetry_Int_Tables_number 216
_symmetry_space_group_name_Hall 'F -4 2 3'
_cell_length_a 7.774
_cell_length_b 7.774
_cell_length_c 7.774
_cell_angle_alpha 90.00
_cell_angle_beta 90.00
_cell_angle_gamma 90.00
loop_
_atom_site_label
_atom_site_fract_x
_atom_site_fract_y
_atom_site_fract_z
Ac1 0.000 0.000 0.000
Ag1 0.250 0.250 0.250
Pd1 0.124 0.124 0.624